Compound: K2BaSc3F12
Source: the Alexandria database
Functional: PBE
Structure: optimized geometry

Calculated values
Space group: No. 166
DOS(E_F) in states/eV/atom: 0.1577
E_tot in eV/atom: -6.1224
Uncorrected formation energy in meV/atom: -3591

Structure (POSCAR):
```
K2BaSc3F12
1.0
-3.163 -4.846 4.890
4.099 -5.883 2.447
2.415 -0.007 7.181
F K Sc Ba
12 2 3 1
Direct
0.126 0.727 0.727
0.431 0.869 0.869
0.569 0.131 0.131
0.131 0.131 0.569
0.727 0.126 0.727
0.874 0.273 0.273
0.273 0.874 0.273
0.131 0.569 0.131
0.869 0.431 0.869
0.869 0.869 0.431
0.273 0.273 0.874
0.727 0.727 0.126
0.372 0.372 0.372
0.628 0.628 0.628
0.000 0.500 0.000
0.000 0.000 0.500
0.500 0.000 0.000
0.000 0.000 0.000
```

Compound: VTc2Rh
Source: the Alexandria database
Functional: PBE
Structure: optimized geometry

Calculated values
Space group: No. 123
DOS(E_F) in states/eV/atom: 1.3914
E_tot in eV/atom: -9.4230
Energy relative to the elements in eV per atom: -0.12

Structure (POSCAR):
```
VTc2Rh
1.0
-3.720 -0.991 0.803
1.134 -1.639 3.231
-0.479 3.288 1.836
Tc V Rh
2 1 1
Direct
0.000 0.500 0.000
0.000 0.000 0.500
0.500 0.500 0.500
0.500 0.000 0.000
```

Compound: Cs2LiHSe
Source: the Alexandria database
Functional: PBE
Structure: optimized geometry

Calculated values
Space group: No. 38
DOS(E_F) in states/eV/atom: 0.0000
E_tot in eV/atom: -2.8445

Structure (POSCAR):
```
Cs2LiHSe
1.0
-2.890 0.243 -3.446
0.776 -4.767 -0.988
-11.363 -3.770 9.261
Cs Li Se H
4 2 2 2
Direct
0.000 0.500 0.844
0.500 0.500 0.561
0.000 0.000 0.344
0.500 0.000 0.061
0.500 0.500 0.238
0.500 0.000 0.738
0.000 0.500 0.161
0.000 0.000 0.661
0.500 0.000 0.860
0.500 0.500 0.360
```

Compound: Pm3Tm4In2
Source: the Alexandria database
Functional: PBE
Structure: optimized geometry

Calculated values
Space group: No. 12
DOS(E_F) in states/eV/atom: 1.1956
E_tot in eV/atom: -4.3447
Energy relative to the elements in eV per atom: -0.17

Structure (POSCAR):
```
Pm3Tm4In2
1.0
-3.632 1.159 3.134
3.002 -4.652 5.200
4.783 6.303 -0.675
Pm In Tm
3 2 4
Direct
0.885 0.326 0.771
0.000 0.000 0.000
0.115 0.674 0.229
0.660 0.001 0.320
0.340 0.999 0.680
0.221 0.318 0.442
0.441 0.668 0.882
0.779 0.682 0.558
0.559 0.332 0.118
```

Compound: ZnSn2BiH
Source: the Alexandria database
Functional: PBE
Structure: optimized geometry

Calculated values
Space group: No. 123
DOS(E_F) in states/eV/atom: 0.6006
E_tot in eV/atom: -3.1133

Structure (POSCAR):
```
ZnSn2BiH
1.0
-5.560 -1.318 0.899
-0.346 -2.186 -5.343
0.911 -3.038 1.184
Zn Sn Bi H
1 2 1 1
Direct
0.000 0.000 0.000
0.000 0.500 0.000
0.500 0.000 0.000
0.500 0.500 0.500
0.000 0.000 0.500
```

Compound: MnBiN3
Source: the Alexandria database
Functional: PBE
Structure: optimized geometry

Calculated values
Space group: No. 221
DOS(E_F) in states/eV/atom: 0.9820
E_tot in eV/atom: -6.7714
Uncorrected formation energy in meV/atom: 834

Structure (POSCAR):
```
MnBiN3
1.0
3.794 0.000 0.000
0.000 3.794 0.000
0.000 0.000 3.794
N Bi Mn
3 1 1
Direct
0.000 0.500 0.000
0.000 0.000 0.500
0.500 0.000 0.000
0.500 0.500 0.500
0.000 0.000 0.000
```

Compound: BaTaHg2
Source: the Alexandria database
Functional: PBE
Structure: optimized geometry

Calculated values
Space group: No. 12
DOS(E_F) in states/eV/atom: 0.8659
E_tot in eV/atom: -3.2607
Energy relative to the elements in eV per atom: 0.33

Structure (POSCAR):
```
BaTaHg2
1.0
-1.604 -3.590 -2.577
0.470 -4.406 1.571
-5.991 -2.248 2.552
Hg Ta Ba
2 1 1
Direct
0.961 0.961 0.117
0.539 0.539 0.383
0.250 0.250 0.250
0.750 0.750 0.750
```

Compound: Rb2CoSbW
Source: the Alexandria database
Functional: PBE
Structure: optimized geometry

Calculated values
Space group: No. 123
DOS(E_F) in states/eV/atom: 1.4892
E_tot in eV/atom: -3.7340
Uncorrected formation energy in meV/atom: 1489

Structure (POSCAR):
```
Rb2CoSbW
1.0
6.920 0.000 0.000
0.000 4.324 0.000
0.000 0.000 6.920
Co Rb W Sb
1 2 1 1
Direct
0.000 0.500 0.000
0.500 0.000 0.000
0.000 0.000 0.500
0.000 0.000 0.000
0.500 0.500 0.500
```

The lowest DOS(E_F) belongs to which entry? Cs2LiHSe

Among the records above, which one has the lowest DOS(E_F)? Cs2LiHSe